Material: KCaCuSe2
Method: DFT, PBE
State: relaxed

Cell lengths 5.3516, 7.6947, 8.5641 Å; angles 116.69, 90.00, 90.00 degrees
Fractional positions:
Se  0.7339  0.6157  0.2314
Se  0.7339  0.8843  0.7686
Se  0.2661  0.1157  0.2314
Se  0.2661  0.3843  0.7686
Cu  0.0000  0.0000  0.0000
Cu  0.0000  0.5000  0.0000
K  0.2278  0.7500  0.5000
K  0.7722  0.2500  0.5000
Ca  0.5000  0.2500  0.0000
Ca  0.5000  0.7500  0.0000

Computed properties:
- Formation energy (no corrections): -107.3 kJ/mol of atoms
- Energy relative to the lowest polymorph listed for this composition: 0 meV/atom
- Size of the total moment: 0.00 μB/f.u.